An optimized crystal structure of CoSn2O6F6. Source: Alexandria via LeMat-Bulk, functional PBE with a Hubbard U.

Computed properties:
Space-group type   P-1
M_tot   0.462 μB per atom
ρ   3.23 Mg/m³
E_tot   -74.41 eV for the cell shown
Excess energy over the best structure of this formula in the dataset   0 meV per atom
Calculated volume   17.342 Å³ per atom

Cell: 6.5698 5.7799 7.0285 Å, 96.44 100.84 91.68°
With the nearest neighbours (Å) after each atom.
Fractional coordinates of all 15 atoms:
Co1 0.0000 0.0000 0.0000  2 O 1.87
Sn1 0.8346 0.5084 0.6693  1 O 1.90, 3 F 1.93-2.07
Sn2 0.1654 0.4916 0.3307  1 O 1.90, 3 F 1.93-2.07
O1 0.4289 0.1503 0.8458  1 O 1.23
O2 0.5711 0.8497 0.1542  1 O 1.23
O3 0.2820 0.0041 0.8035  1 O 1.23
O4 0.7180 0.9959 0.1965  1 O 1.23
O5 0.1658 0.1784 0.2144  1 Co 1.87, 1 Sn 1.90
O6 0.8342 0.8216 0.7856  1 Co 1.87, 1 Sn 1.90
F1 0.8708 0.3071 0.8894  1 Sn 2.02, 1 Co 2.15
F2 0.1292 0.6929 0.1106  1 Sn 2.02, 1 Co 2.15
F3 0.1117 0.3863 0.6118  2 Sn 2.07-2.22
F4 0.8883 0.6137 0.3882  2 Sn 2.07-2.22
F5 0.6164 0.3027 0.5100  1 Sn 1.93
F6 0.3836 0.6973 0.4900  1 Sn 1.93